Record 1
This record from OQMD via LeMat-Bulk describes an optimized crystal structure of Er2Fe3. The functional is PBE.

Geometry as POSCAR:
```
Er2Fe3
1.0
3.2623 1.8835 5.4032
-3.2623 1.8835 5.4032
0.0000 -3.7670 5.4032
Er Fe
4 6
Direct
0.0972 0.0972 0.0972
0.4028 0.4028 0.4028
0.5972 0.5972 0.5972
0.9028 0.9028 0.9028
0.0496 0.2500 0.4504
0.2500 0.4504 0.0496
0.4504 0.0496 0.2500
0.5496 0.9504 0.7500
0.7500 0.5496 0.9504
0.9504 0.7500 0.5496
```

Computed properties:
Calculated formation energy   0.58 eV per atom
Total magnetic moment   6.302 μB per formula unit
Symmetry   R-3c

***

Record 2
This record from OQMD via LeMat-Bulk describes an optimized crystal structure of RbGdMgS3. The functional is PBE.

Geometry as POSCAR:
```
RbGdMgS3
1.0
10.8824 0.0000 0.0000
0.0000 4.1287 0.0000
0.0000 0.0000 14.8249
Rb Gd Mg S
4 4 4 12
Direct
0.2337 0.2500 0.0096
0.2663 0.7500 0.5096
0.7337 0.2500 0.4904
0.7663 0.7500 0.9904
0.0119 0.7500 0.2551
0.4881 0.2500 0.7551
0.5119 0.7500 0.2449
0.9881 0.2500 0.7449
0.2374 0.7500 0.7866
0.2626 0.2500 0.2866
0.7374 0.7500 0.7134
0.7626 0.2500 0.2134
0.0444 0.7500 0.8652
0.0749 0.2500 0.3717
0.2390 0.2500 0.6940
0.2610 0.7500 0.1940
0.4251 0.7500 0.8717
0.4556 0.2500 0.3652
0.5444 0.7500 0.6348
0.5749 0.2500 0.1283
0.7390 0.2500 0.8060
0.7610 0.7500 0.3060
0.9251 0.7500 0.6283
0.9556 0.2500 0.1348
```

Computed properties:
E   -4.934 eV per atom
Total magnetic moment   0.002 μB per formula unit
Symmetry   Pnma

***

Record 3
This record from OQMD via LeMat-Bulk describes an optimized crystal structure of TbBiTe. The functional is PBE.

Geometry as POSCAR:
```
TbBiTe
1.0
7.3921 0.0000 0.0000
0.0000 7.3921 0.0000
0.0000 0.0000 7.3921
Tb Bi Te
4 4 4
Direct
0.0000 0.0000 0.0000
0.0000 0.5000 0.5000
0.5000 0.0000 0.5000
0.5000 0.5000 0.0000
0.0000 0.0000 0.5000
0.0000 0.5000 0.0000
0.5000 0.0000 0.0000
0.5000 0.5000 0.5000
0.2500 0.2500 0.7500
0.2500 0.7500 0.2500
0.7500 0.2500 0.2500
0.7500 0.7500 0.7500
```

Computed properties:
E   -4.266 eV per atom
Total magnetic moment   0.006 μB per formula unit
Symmetry   F-43m

***

Record 4
This record from OQMD via LeMat-Bulk describes an optimized crystal structure of FeAgHgSb. The functional is PBE.

Geometry as POSCAR:
```
FeAgHgSb
1.0
6.7992 0.0000 0.0000
0.0000 6.7992 0.0000
0.0000 0.0000 6.7992
Fe Ag Hg Sb
4 4 4 4
Direct
0.0000 0.0000 0.0000
0.0000 0.5000 0.5000
0.5000 0.0000 0.5000
0.5000 0.5000 0.0000
0.0000 0.0000 0.5000
0.0000 0.5000 0.0000
0.5000 0.0000 0.0000
0.5000 0.5000 0.5000
0.2500 0.2500 0.2500
0.2500 0.7500 0.7500
0.7500 0.2500 0.7500
0.7500 0.7500 0.2500
0.2500 0.2500 0.7500
0.2500 0.7500 0.2500
0.7500 0.2500 0.2500
0.7500 0.7500 0.7500
```

Computed properties:
Energy above the most stable polymorph in this dataset   0.000 eV/atom
Total magnetic moment   2.704 μB per formula unit
Symmetry   F-43m

***

Record 5
This record from OQMD via LeMat-Bulk describes an optimized crystal structure of ZrZnCoPd. The functional is PBE.

Geometry as POSCAR:
```
ZrZnCoPd
1.0
6.2661 0.0000 0.0000
0.0000 6.2661 0.0000
0.0000 0.0000 6.2661
Zr Zn Co Pd
4 4 4 4
Direct
0.0000 0.0000 0.0000
0.0000 0.5000 0.5000
0.5000 0.0000 0.5000
0.5000 0.5000 0.0000
0.0000 0.0000 0.5000
0.0000 0.5000 0.0000
0.5000 0.0000 0.0000
0.5000 0.5000 0.5000
0.2500 0.2500 0.7500
0.2500 0.7500 0.2500
0.7500 0.2500 0.2500
0.7500 0.7500 0.7500
0.2500 0.2500 0.2500
0.2500 0.7500 0.7500
0.7500 0.2500 0.7500
0.7500 0.7500 0.2500
```

Computed properties:
Energy above the most stable polymorph in this dataset   0.000 eV/atom
Calculated formation energy   -0.40 eV per atom
Total magnetic moment   0.768 μB per formula unit
Symmetry   F-43m

***

Record 6
This record from OQMD via LeMat-Bulk describes an optimized crystal structure of Hf2Pd. The functional is PBE.

Geometry as POSCAR:
```
Hf2Pd
1.0
0.0000 5.7674 5.7674
5.7674 0.0000 5.7674
5.7674 5.7674 0.0000
Hf Pd
4 2
Direct
0.0000 0.0000 0.0000
0.0000 0.0000 0.5000
0.0000 0.5000 0.0000
0.5000 0.0000 0.0000
0.1250 0.1250 0.1250
0.8750 0.8750 0.8750
```

Computed properties:
Calculated formation energy   2.20 eV per atom
Total magnetic moment   1.274 μB per formula unit
Symmetry   Fd-3m

***

Record 7
This record from OQMD via LeMat-Bulk describes an optimized crystal structure of YTmAsO. The functional is PBE.

Geometry as POSCAR:
```
YTmAsO
1.0
4.3172 0.0000 0.0000
0.0000 4.3172 0.0000
0.0000 0.0000 8.6387
Y Tm As O
2 2 2 2
Direct
0.2500 0.7500 0.0000
0.7500 0.2500 0.0000
0.2500 0.2500 0.4049
0.7500 0.7500 0.5951
0.2500 0.2500 0.7895
0.7500 0.7500 0.2105
0.2500 0.7500 0.5000
0.7500 0.2500 0.5000
```

Computed properties:
Energy above the most stable polymorph in this dataset   0.113 eV/atom
Total magnetic moment   0.013 μB per formula unit
Symmetry   P4/nmm

***

Record 8
This record from OQMD via LeMat-Bulk describes an optimized crystal structure of HoTlGaS3. The functional is PBE.

Geometry as POSCAR:
```
HoTlGaS3
1.0
2.1515 -6.8385 0.0000
2.1515 6.8385 0.0000
0.0000 0.0000 10.4511
Ho Tl Ga S
2 2 2 6
Direct
0.0000 0.0000 0.0000
0.0000 0.0000 0.5000
0.2602 0.7398 0.7500
0.7398 0.2602 0.2500
0.4789 0.5211 0.2500
0.5211 0.4789 0.7500
0.0601 0.9399 0.2500
0.3777 0.6223 0.0645
0.3777 0.6223 0.4355
0.6223 0.3777 0.5645
0.6223 0.3777 0.9355
0.9399 0.0601 0.7500
```

Computed properties:
E   -4.752 eV per atom
Total magnetic moment   0.005 μB per formula unit
Symmetry   Cmcm

***

Record 9
This record from OQMD via LeMat-Bulk describes an optimized crystal structure of Ta2CuC. The functional is PBE.

Geometry as POSCAR:
```
Ta2CuC
1.0
3.1133 0.0000 0.0000
-1.5567 2.6962 0.0000
0.0000 0.0000 13.3258
Ta Cu C
4 2 2
Direct
0.3333 0.6667 0.0922
0.3333 0.6667 0.4078
0.6667 0.3333 0.5922
0.6667 0.3333 0.9078
0.3333 0.6667 0.7500
0.6667 0.3333 0.2500
0.0000 0.0000 0.0000
0.0000 0.0000 0.5000
```

Computed properties:
E   -9.415 eV per atom
Total magnetic moment   0.004 μB per formula unit
Symmetry   P6_3/mmc

***

Record 10
This record from OQMD via LeMat-Bulk describes an optimized crystal structure of PmAs. The functional is PBE.

Geometry as POSCAR:
```
PmAs
1.0
6.6297 0.0000 0.0000
0.0000 6.6297 0.0000
0.0000 0.0000 6.6297
Pm As
4 4
Direct
0.0000 0.0000 0.0000
0.0000 0.5000 0.5000
0.5000 0.0000 0.5000
0.5000 0.5000 0.0000
0.2500 0.2500 0.2500
0.2500 0.7500 0.7500
0.7500 0.2500 0.7500
0.7500 0.7500 0.2500
```

Computed properties:
Energy above the most stable polymorph in this dataset   0.527 eV/atom
Total magnetic moment   0.001 μB per formula unit
Symmetry   F-43m

***

Record 11
This record from OQMD via LeMat-Bulk describes an optimized crystal structure of SrZnIr. The functional is PBE.

Geometry as POSCAR:
```
SrZnIr
1.0
6.6344 0.0000 0.0000
0.0000 6.6344 0.0000
0.0000 0.0000 6.6344
Sr Zn Ir
4 4 4
Direct
0.0000 0.0000 0.0000
0.0000 0.5000 0.5000
0.5000 0.0000 0.5000
0.5000 0.5000 0.0000
0.0000 0.0000 0.5000
0.0000 0.5000 0.0000
0.5000 0.0000 0.0000
0.5000 0.5000 0.5000
0.2500 0.2500 0.2500
0.2500 0.7500 0.7500
0.7500 0.2500 0.7500
0.7500 0.7500 0.2500
```

Computed properties:
E   -3.813 eV per atom
Total magnetic moment   0.004 μB per formula unit
Symmetry   F-43m

***

Record 12
This record from OQMD via LeMat-Bulk describes an optimized crystal structure of LuFePt2. The functional is PBE.

Geometry as POSCAR:
```
LuFePt2
1.0
6.4515 0.0000 0.0000
0.0000 6.4515 0.0000
0.0000 0.0000 6.4515
Lu Fe Pt
4 4 8
Direct
0.0000 0.0000 0.0000
0.0000 0.5000 0.5000
0.5000 0.0000 0.5000
0.5000 0.5000 0.0000
0.2500 0.2500 0.7500
0.2500 0.7500 0.2500
0.7500 0.2500 0.2500
0.7500 0.7500 0.7500
0.0000 0.0000 0.5000
0.0000 0.5000 0.0000
0.2500 0.2500 0.2500
0.2500 0.7500 0.7500
0.5000 0.0000 0.0000
0.5000 0.5000 0.5000
0.7500 0.2500 0.7500
0.7500 0.7500 0.2500
```

Computed properties:
Calculated formation energy   -0.51 eV per atom
Total magnetic moment   2.970 μB per formula unit
Symmetry   F-43m